Run a
This record from the Open Quantum Materials Database describes a relaxed NaFeSiBi crystal. The functional is PBE.

Unit cell a=6.742 b=6.742 c=6.742 alpha=90.00 beta=90.00 gamma=90.00
Fractional coordinates of all 16 atoms:
Na1 0.000 0.000 0.000
Na2 0.000 0.500 0.500
Na3 0.500 0.000 0.500
Na4 0.500 0.500 0.000
Fe1 0.000 0.000 0.500
Fe2 0.000 0.500 0.000
Fe3 0.500 0.000 0.000
Fe4 0.500 0.500 0.500
Si1 0.250 0.250 0.750
Si2 0.250 0.750 0.250
Si3 0.750 0.250 0.250
Si4 0.750 0.750 0.750
Bi1 0.250 0.250 0.250
Bi2 0.250 0.750 0.750
Bi3 0.750 0.250 0.750
Bi4 0.750 0.750 0.250

## Properties
The space group is F-43m (216). The total magnetization comes out at 8.9 μB per cell.

Run b
This record from the Open Quantum Materials Database describes a relaxed NaFeSiBi crystal. The functional is PBE.

Unit cell a=6.972 b=6.972 c=6.972 alpha=90.00 beta=90.00 gamma=90.00
Fractional coordinates of all 16 atoms:
Na1 0.000 0.000 0.000
Na2 0.000 0.500 0.500
Na3 0.500 0.000 0.500
Na4 0.500 0.500 0.000
Fe1 0.250 0.250 0.250
Fe2 0.250 0.750 0.750
Fe3 0.750 0.250 0.750
Fe4 0.750 0.750 0.250
Si1 0.250 0.250 0.750
Si2 0.250 0.750 0.250
Si3 0.750 0.250 0.250
Si4 0.750 0.750 0.750
Bi1 0.000 0.000 0.500
Bi2 0.000 0.500 0.000
Bi3 0.500 0.000 0.000
Bi4 0.500 0.500 0.500

## Properties
The space group is F-43m (216). The total magnetization comes out at 10.8 μB per cell.

Computed energies relative to the best structure, in eV/atom: run a 0.000; run b 0.188

Run a
This record from the Open Quantum Materials Database describes a relaxed NbFeBiOs crystal. The functional is PBE.

Unit cell a=6.497 b=6.497 c=6.497 alpha=90.00 beta=90.00 gamma=90.00
Fractional coordinates of all 16 atoms:
Nb1 0.000 0.000 0.000
Nb2 0.000 0.500 0.500
Nb3 0.500 0.000 0.500
Nb4 0.500 0.500 0.000
Fe1 0.250 0.250 0.750
Fe2 0.250 0.750 0.250
Fe3 0.750 0.250 0.250
Fe4 0.750 0.750 0.750
Bi1 0.000 0.000 0.500
Bi2 0.000 0.500 0.000
Bi3 0.500 0.000 0.000
Bi4 0.500 0.500 0.500
Os1 0.250 0.250 0.250
Os2 0.250 0.750 0.750
Os3 0.750 0.250 0.750
Os4 0.750 0.750 0.250

## Properties
The space group is F-43m (216). The total magnetization comes out at 8.5 μB per cell.

Run b
This record from the Open Quantum Materials Database describes a relaxed NbFeBiOs crystal. The functional is PBE.

Unit cell a=6.524 b=6.524 c=6.524 alpha=90.00 beta=90.00 gamma=90.00
Fractional coordinates of all 16 atoms:
Nb1 0.000 0.000 0.000
Nb2 0.000 0.500 0.500
Nb3 0.500 0.000 0.500
Nb4 0.500 0.500 0.000
Fe1 0.000 0.000 0.500
Fe2 0.000 0.500 0.000
Fe3 0.500 0.000 0.000
Fe4 0.500 0.500 0.500
Bi1 0.250 0.250 0.250
Bi2 0.250 0.750 0.750
Bi3 0.750 0.250 0.750
Bi4 0.750 0.750 0.250
Os1 0.250 0.250 0.750
Os2 0.250 0.750 0.250
Os3 0.750 0.250 0.250
Os4 0.750 0.750 0.750

## Properties
The space group is F-43m (216). The total magnetization comes out at 10.9 μB per cell.

Computed energies relative to the best structure, in eV/atom: run a 0.000; run b 0.153